Computed, not measured: a relaxed SmEuErHg crystal at the PBE level of DFT.

Unit cell a=7.7497 b=7.7497 c=7.7497 alpha=90.00 beta=90.00 gamma=90.00
Space group F-43m (No. 216)
One atom of each set of equivalent atoms:
Sm: 0.0000 0.0000 0.0000 [4 per cell]
Eu: 0.2500 0.2500 0.2500 [4 per cell]
Er: 0.0000 0.0000 0.5000 [4 per cell]
Hg: 0.2500 0.2500 0.7500 [4 per cell]

Properties
raw total energy = -80.09 eV per cell
energy relative to the elements = -0.04 eV/atom
M_tot = 29.7 μB/cell

***

Computed, not measured: a relaxed EuErSnHg crystal at the PBE level of DFT.

Unit cell a=7.6134 b=7.6134 c=7.6134 alpha=90.00 beta=90.00 gamma=90.00
Space group F-43m (No. 216)
One atom of each set of equivalent atoms:
Eu: 0.0000 0.0000 0.0000 [4 per cell]
Er: 0.0000 0.0000 0.5000 [4 per cell]
Sn: 0.2500 0.2500 0.2500 [4 per cell]
Hg: 0.2500 0.2500 0.7500 [4 per cell]

Properties
raw total energy = -85.61 eV per cell
energy relative to the elements = -0.56 eV/atom
M_tot = 30.2 μB/cell

***

Computed, not measured: a relaxed EuErZnHg crystal at the PBE level of DFT.

Unit cell a=7.4284 b=7.4284 c=7.4284 alpha=90.00 beta=90.00 gamma=90.00
Space group F-43m (No. 216)
One atom of each set of equivalent atoms:
Eu: 0.0000 0.0000 0.0000 [4 per cell]
Er: 0.0000 0.0000 0.5000 [4 per cell]
Zn: 0.2500 0.2500 0.7500 [4 per cell]
Hg: 0.2500 0.2500 0.2500 [4 per cell]

Properties
raw total energy = -71.51 eV per cell
energy relative to the elements = -0.37 eV/atom
M_tot = 27.8 μB/cell

***

Computed, not measured: a relaxed Eu2HoEr crystal at the PBE level of DFT.

Unit cell a=4.1171 b=4.1171 c=8.2156 alpha=90.00 beta=90.00 gamma=90.00
Space group P4/mmm (No. 123)
One atom of each set of equivalent atoms:
Eu: 0.0000 0.0000 0.2489 [2 per cell]
Ho: 0.5000 0.5000 0.5000 [1 per cell]
Er: 0.5000 0.5000 0.0000 [1 per cell]

Properties
raw total energy = -28.99 eV per cell
energy relative to the elements = 0.18 eV/atom
M_tot = 14.7 μB/cell

***

Computed, not measured: a relaxed EuHo2Er crystal at the PBE level of DFT.

Unit cell a=8.0705 b=8.0705 c=8.0705 alpha=90.00 beta=90.00 gamma=90.00
Space group Fm-3m (No. 225)
One atom of each set of equivalent atoms:
Eu: 0.0000 0.0000 0.0000 [4 per cell]
Ho: 0.2500 0.2500 0.2500 [8 per cell]
Er: 0.0000 0.0000 0.5000 [4 per cell]

Properties
raw total energy = -93.28 eV per cell
energy relative to the elements = 0.17 eV/atom
M_tot = 32.8 μB/cell

***

Computed, not measured: a relaxed EuHoEr crystal at the PBE level of DFT.

Unit cell a=3.6120 b=3.6120 c=8.8531 alpha=90.00 beta=90.00 gamma=120.00
Space group P3m1 (No. 156)
One atom of each set of equivalent atoms:
Eu: 0.0000 0.0000 0.0000 [1 per cell]
Ho: 0.6667 0.3333 0.3463 [1 per cell]
Er: 0.3333 0.6667 0.6554 [1 per cell]

Properties
raw total energy = -19.22 eV per cell
energy relative to the elements = 0.06 eV/atom
M_tot = 7.3 μB/cell